Density functional theory data (PBE with a Hubbard U) for crystalline BaMn2P2O9 at its relaxed geometry.

## Properties
DFT total energy: -7.374 eV/atom

Lattice parameters (Å, degrees): 5.168 5.168 8.631 94.11 94.11 58.35
Fractional positions:
Ba: 0.000 0.000 0.000
Mn: 0.342 0.362 0.381
Mn: 0.638 0.658 0.619
P: 0.310 0.359 0.744
P: 0.641 0.690 0.256
O: 0.080 0.425 0.866
O: 0.127 0.444 0.583
O: 0.425 0.563 0.216
O: 0.437 0.575 0.784
O: 0.556 0.873 0.417
O: 0.575 0.920 0.134
O: 0.580 0.024 0.743
O: 0.668 0.332 0.500
O: 0.976 0.420 0.257